PBE Cd2HgIr, relaxed; excess energy over the best structure of this formula in the dataset = 0.0759 eV/atom; symmetry = Pm (6); ρ = 12.963 g/cm³; density of states at the Fermi level = 0.482 states/eV/atom
1.0
-2.691 0.293 3.612
0.513 -3.067 0.631
4.599 -0.155 3.438
Ir Cd Hg
1 2 1
Direct
0.500 0.548 0.782 Ir
0.500 0.292 0.287 Cd
0.000 0.965 0.947 Cd
0.000 0.694 0.484 Hg